[1]
A plane-wave DFT calculation with meta-GGA SCAN was carried out for a PBEsol-optimized structure of SrAgSe.

POSCAR file:
```
SrAgSe
1.0
0.000 3.523 3.523
3.523 0.000 3.523
3.523 3.523 0.000
Sr Ag Se
1 1 1
Direct
0.000 0.000 0.000
0.750 0.750 0.750
0.250 0.250 0.250
```

Uncorrected energy: -75.76 eV/cell
D(E_F): 1.2 states/eV/cell
Space-group type: F-43m
Energy relative to the elements, uncorrected: -0.6807 eV/atom
Total magnetic moment: 0.000 μB/atom



[2]
A plane-wave DFT calculation with meta-GGA SCAN was carried out for a PBEsol-optimized structure of SrAgSe2.

POSCAR file:
```
SrAgSe2
1.0
2.231 1.288 8.046
-2.231 1.288 8.046
0.000 -2.576 8.046
Sr Ag Se
1 1 2
Direct
0.000 0.000 0.000
0.500 0.500 0.500
0.401 0.401 0.401
0.599 0.599 0.599
```

Uncorrected energy: -96.99 eV/cell
D(E_F): 5.9 states/eV/cell
Space-group type: R-3m
Energy relative to the elements, uncorrected: -0.7977 eV/atom
Total magnetic moment: 0.001 μB/atom